# Tb2HoBi2N2 | Alexandria | PBE | optimized geometry
data_Tb2HoBi2N2
_symmetry_space_group_name_H-M 'P 1'
_symmetry_Int_Tables_number 1
_symmetry_space_group_name_Hall 'P 1'
_cell_length_a 4.476
_cell_length_b 4.476
_cell_length_c 8.524
_cell_angle_alpha 105.22
_cell_angle_beta 105.22
_cell_angle_gamma 90.00
loop_
_atom_site_label
_atom_site_fract_x
_atom_site_fract_y
_atom_site_fract_z
_atom_site_occupancy
Tb1 0.408 0.408 0.817 1
Tb2 0.592 0.592 0.183 1
Ho1 0.000 0.000 0.000 1
Bi1 0.213 0.213 0.426 1
Bi2 0.787 0.787 0.574 1
N1 0.000 0.500 0.000 1
N2 0.500 0.000 0.000 1
# - formation energy without anion corrections (eV per atom) = -0.8574
# - volume (Å³ per cell) = 158.6
# - DOS(E_F) (states/eV/f.u.) = 3.51